No. 1
SiHgRh2 | GGA-PBE | relaxed

Properties
* ΔE_f (raw): -137.2 meV/atom
* total moment: 0.000 μB per cell
* uncorrected energy: -20.98 eV/cell
* offset from the most stable computed form: 130 kJ/mol of formula units

```
data_SiHgRh2
_chemical_formula_sum 'Si1 Hg1 Rh2'
_space_group_name_H-M_alt 'P 1 m 1'
_space_group_IT_number 6
_space_group_name_Hall 'P -2y'
_cell_length_a 3.033
_cell_length_b 4.279
_cell_length_c 5.132
_cell_angle_alpha 90.00
_cell_angle_beta 96.68
_cell_angle_gamma 90.00
loop_
_atom_site_label
_atom_site_type_symbol
_atom_site_fract_x
_atom_site_fract_y
_atom_site_fract_z
Si1 Si 0.000 0.000 0.000
Hg1 Hg 0.917 0.500 0.473
Rh1 Rh 0.348 0.500 0.011
Rh2 Rh 0.450 0.000 0.645
```

No. 2
Hf2AlHg | GGA-PBE | relaxed

Properties
* total moment: 0.001 μB per cell
* uncorrected energy: -24.60 eV/cell
* offset from the most stable computed form: 15 kJ/mol of formula units
* ΔH_f (0 K): -0.16 eV/atom

```
data_Hf2AlHg
_chemical_formula_sum 'Hf2 Al1 Hg1'
_space_group_name_H-M_alt 'P 4/m m m'
_space_group_IT_number 123
_space_group_name_Hall '-P 4 2'
_cell_length_a 4.305
_cell_length_b 4.305
_cell_length_c 4.297
_cell_angle_alpha 90.00
_cell_angle_beta 90.00
_cell_angle_gamma 90.00
loop_
_atom_site_label
_atom_site_type_symbol
_atom_site_fract_x
_atom_site_fract_y
_atom_site_fract_z
Hf1 Hf 0.000 0.500 0.000
Al1 Al 0.000 0.000 0.500
Hg1 Hg 0.500 0.500 0.500
```

No. 3
KZrSb | GGA-PBE | relaxed

Properties
* ΔE_f (raw): -84.1 meV/atom
* total moment: 3.400 μB per cell
* uncorrected energy: -28.04 eV/cell

```
data_KZrSb
_chemical_formula_sum 'K2 Zr2 Sb2'
_space_group_name_H-M_alt 'I 4 m m'
_space_group_IT_number 107
_space_group_name_Hall 'I 4 -2'
_cell_length_a 4.000
_cell_length_b 4.000
_cell_length_c 13.237
_cell_angle_alpha 90.00
_cell_angle_beta 90.00
_cell_angle_gamma 90.00
loop_
_atom_site_label
_atom_site_type_symbol
_atom_site_fract_x
_atom_site_fract_y
_atom_site_fract_z
K1 K 0.000 0.000 0.000
Zr1 Zr 0.000 0.000 0.273
Sb1 Sb 0.000 0.000 0.723
```

No. 4
Ba6N2F | GGA-PBE | relaxed

Properties
* ΔE_f (raw): -804.9 meV/atom
* total moment: 0.000 μB per cell
* uncorrected energy: -74.60 eV/cell

```
data_Ba6N2F
_chemical_formula_sum 'Ba12 N4 F2'
_space_group_name_H-M_alt 'C 1 2/m 1'
_space_group_IT_number 12
_space_group_name_Hall '-C 2y'
_cell_length_a 15.261
_cell_length_b 4.502
_cell_length_c 10.872
_cell_angle_alpha 90.00
_cell_angle_beta 108.67
_cell_angle_gamma 90.00
loop_
_atom_site_label
_atom_site_type_symbol
_atom_site_fract_x
_atom_site_fract_y
_atom_site_fract_z
Ba1 Ba 0.111 0.000 0.153
Ba2 Ba 0.135 0.500 0.809
Ba3 Ba 0.163 0.000 0.533
N1 N 0.239 0.500 0.662
F1 F 0.000 0.500 0.000
```

No. 5
CaAcEuGd | GGA-PBE | relaxed

Properties
* total moment: 58.533 μB per cell
* uncorrected energy: -120.15 eV/cell
* ΔH_f (0 K): 0.11 eV/atom

```
data_CaAcEuGd
_chemical_formula_sum 'Ca4 Ac4 Eu4 Gd4'
_space_group_name_H-M_alt 'F -4 3 m'
_space_group_IT_number 216
_space_group_name_Hall 'F -4 2 3'
_cell_length_a 8.644
_cell_length_b 8.644
_cell_length_c 8.644
_cell_angle_alpha 90.00
_cell_angle_beta 90.00
_cell_angle_gamma 90.00
loop_
_atom_site_label
_atom_site_type_symbol
_atom_site_fract_x
_atom_site_fract_y
_atom_site_fract_z
Ca1 Ca 0.000 0.000 0.000
Ac1 Ac 0.250 0.250 0.750
Eu1 Eu 0.250 0.250 0.250
Gd1 Gd 0.000 0.000 0.500
```

No. 6
BaPuTcO6 | GGA-PBE | relaxed

Properties
* ΔE_f (raw): -2319.1 meV/atom
* total moment: 5.002 μB per cell
* uncorrected energy: -77.24 eV/cell

```
data_BaPuTcO6
_chemical_formula_sum 'Ba1 Pu1 Tc1 O6'
_space_group_name_H-M_alt 'P 3 1 2'
_space_group_IT_number 149
_space_group_name_Hall 'P 3 2'
_cell_length_a 5.5046
_cell_length_b 5.5046
_cell_length_c 5.7943
_cell_angle_alpha 90.00
_cell_angle_beta 90.00
_cell_angle_gamma 120.00
loop_
_atom_site_label
_atom_site_type_symbol
_atom_site_fract_x
_atom_site_fract_y
_atom_site_fract_z
Ba1 Ba 0.0000 0.0000 0.0000
Pu1 Pu 0.3333 0.6667 0.5000
Tc1 Tc 0.6667 0.3333 0.5000
O1 O 0.3854 0.0203 0.6928
```

No. 7
LaAsSe2 | GGA-PBE | relaxed

Properties
* ΔE_f (raw): -766.1 meV/atom
* total moment: 0.000 μB per cell
* uncorrected energy: -39.22 eV/cell

```
data_LaAsSe2
_chemical_formula_sum 'La2 As2 Se4'
_space_group_name_H-M_alt 'I 4/m m m'
_space_group_IT_number 139
_space_group_name_Hall '-I 4 2'
_cell_length_a 4.391
_cell_length_b 4.391
_cell_length_c 9.668
_cell_angle_alpha 90.00
_cell_angle_beta 90.00
_cell_angle_gamma 90.00
loop_
_atom_site_label
_atom_site_type_symbol
_atom_site_fract_x
_atom_site_fract_y
_atom_site_fract_z
La1 La 0.000 0.000 0.000
As1 As 0.000 0.000 0.500
Se1 Se 0.000 0.500 0.250
```

No. 8
Tl2In2Hg | GGA-PBE | relaxed

Properties
* total moment: 0.000 μB per cell
* uncorrected energy: -10.49 eV/cell
* offset from the most stable computed form: 0 kJ/mol of formula units
* ΔH_f (0 K): 0.01 eV/atom

```
data_Tl2In2Hg
_chemical_formula_sum 'Tl2 In2 Hg1'
_space_group_name_H-M_alt 'P 1 2/m 1'
_space_group_IT_number 10
_space_group_name_Hall '-P 2y'
_cell_length_a 5.482
_cell_length_b 3.355
_cell_length_c 8.260
_cell_angle_alpha 90.00
_cell_angle_beta 108.46
_cell_angle_gamma 90.00
loop_
_atom_site_label
_atom_site_type_symbol
_atom_site_fract_x
_atom_site_fract_y
_atom_site_fract_z
Tl1 Tl 0.112 0.000 0.214
In1 In 0.301 0.500 0.605
Hg1 Hg 0.500 0.500 0.000
```

Among the records above, which one has the highest total moment?
CaAcEuGd